1.
Material: Rb2CeH12Pd3
Method: DFT, PBE
State: relaxed Values from VASP.

Values from the calculation:
**Space group**: R-3m (166)
**Calculated volume**: 12.3 Å³/atom

```
&SYSTEM
  ibrav = 0, nat = 18, ntyp = 4
/
ATOMIC_SPECIES
Rb 85.47 Rb.upf
Ce 140.12 Ce.upf
H 1.01 H.upf
Pd 106.42 Pd.upf
CELL_PARAMETERS angstrom
3.557 2.054 5.054
-3.557 2.054 5.054
0.000 -4.108 5.054
ATOMIC_POSITIONS angstrom
Rb 0.000 0.000 1.672
Rb 0.000 0.000 13.490
Ce 0.000 0.000 7.581
H -1.873 -1.081 6.722
H 0.000 -1.384 5.243
H -1.199 0.692 5.243
H 0.000 -2.163 8.439
H -1.873 1.081 8.439
H -1.199 -0.692 9.919
H 1.199 0.692 5.243
H 1.873 -1.081 6.722
H 0.000 2.163 6.722
H 1.199 -0.692 9.919
H 0.000 1.384 9.919
H 1.873 1.081 8.439
Pd -1.779 -1.027 5.054
Pd -1.779 1.027 10.108
Pd 0.000 2.054 5.054
```



2.
Material: GaCuAu2
Method: DFT, PBE
State: relaxed Values from VASP.

Values from the calculation:
**Formation energy**: 0.4 eV per formula unit
**Space group**: Immm (71)
**Calculated volume**: 18.0 Å³/atom

```
&SYSTEM
  ibrav = 0, nat = 4, ntyp = 3
/
ATOMIC_SPECIES
Ga 69.72 Ga.upf
Cu 63.55 Cu.upf
Au 196.97 Au.upf
CELL_PARAMETERS angstrom
-1.411 2.364 5.402
1.411 -2.364 5.402
1.411 2.364 -5.402
ATOMIC_POSITIONS angstrom
Ga 0.000 0.000 0.000
Cu 0.000 0.000 5.402
Au 0.000 0.000 2.756
Au 0.000 0.000 8.048
```



3.
Material: GaAgPtPb2
Method: DFT, PBE
State: relaxed Values from VASP.

Values from the calculation:
**Formation energy**: -0.6 eV per formula unit
**Space group**: P1 (1)
**Calculated volume**: 24.4 Å³/atom

```
&SYSTEM
  ibrav = 0, nat = 5, ntyp = 4
/
ATOMIC_SPECIES
Ga 69.72 Ga.upf
Ag 107.87 Ag.upf
Pt 195.08 Pt.upf
Pb 207.20 Pb.upf
CELL_PARAMETERS angstrom
4.251 0.000 0.000
-2.122 3.705 0.000
-0.055 -2.429 7.754
ATOMIC_POSITIONS angstrom
Ga 0.000 0.000 0.000
Ag -0.009 2.468 3.921
Pt -0.001 2.468 0.671
Pb -0.016 0.006 5.554
Pb 2.126 1.222 2.231
```



4.
Material: Tl2ZnAgI
Method: DFT, PBE
State: relaxed Values from VASP.

Values from the calculation:
**Space group**: P4/mmm (123)
**Calculated volume**: 46.9 Å³/atom
**E_form (uncorrected)**: 0.48 eV per atom

```
&SYSTEM
  ibrav = 0, nat = 5, ntyp = 4
/
ATOMIC_SPECIES
Tl 204.38 Tl.upf
Zn 65.41 Zn.upf
Ag 107.87 Ag.upf
I 126.90 I.upf
CELL_PARAMETERS angstrom
6.537 0.000 0.000
0.000 6.537 0.000
0.000 0.000 5.483
ATOMIC_POSITIONS angstrom
Tl 0.000 3.269 0.000
Tl 3.269 0.000 0.000
Zn 0.000 0.000 2.741
Ag 3.269 3.269 2.741
I 3.269 3.269 0.000
```



5.
Material: Tl2In2Tc
Method: DFT, PBE
State: relaxed Values from VASP.

Values from the calculation:
**Formation energy**: 4.0 eV per formula unit
**Space group**: I4/mmm (139)
**Calculated volume**: 27.4 Å³/atom

```
&SYSTEM
  ibrav = 0, nat = 5, ntyp = 3
/
ATOMIC_SPECIES
Tl 204.38 Tl.upf
In 114.82 In.upf
Tc 98.00 Tc.upf
CELL_PARAMETERS angstrom
-2.032 2.032 8.303
2.032 -2.032 8.303
2.032 2.032 -8.303
ATOMIC_POSITIONS angstrom
Tl 2.032 0.000 4.151
Tl 0.000 2.032 4.151
In 0.000 0.000 1.398
In 0.000 0.000 15.208
Tc 0.000 0.000 8.303
```



6.
Material: ScMn2Se
Method: DFT, PBE
State: relaxed Values from VASP.

Values from the calculation:
**Space group**: F-43m (216)
**Calculated volume**: 16.2 Å³/atom
**E_form (uncorrected)**: 0.08 eV per atom

```
&SYSTEM
  ibrav = 0, nat = 4, ntyp = 3
/
ATOMIC_SPECIES
Sc 44.96 Sc.upf
Mn 54.94 Mn.upf
Se 78.96 Se.upf
CELL_PARAMETERS angstrom
0.000 3.189 3.189
3.189 0.000 3.189
3.189 3.189 0.000
ATOMIC_POSITIONS angstrom
Sc 0.000 0.000 0.000
Mn 3.189 3.189 3.189
Mn 4.784 4.784 4.784
Se 1.595 1.595 1.595
```



7.
Material: Y6OsRh5
Method: DFT, PBE
State: relaxed Values from VASP.

Values from the calculation:
**Formation energy**: -8.7 eV per formula unit
**Space group**: Cmmm (65)
**Calculated volume**: 20.2 Å³/atom

```
&SYSTEM
  ibrav = 0, nat = 12, ntyp = 3
/
ATOMIC_SPECIES
Y 88.91 Y.upf
Os 190.23 Os.upf
Rh 102.91 Rh.upf
CELL_PARAMETERS angstrom
2.436 -7.310 0.000
2.436 7.310 0.000
0.000 0.000 6.815
ATOMIC_POSITIONS angstrom
Y 0.000 0.000 1.689
Y 0.000 0.000 5.126
Y 2.436 2.419 1.695
Y 2.436 2.419 5.120
Y 2.436 -2.419 1.695
Y 2.436 -2.419 5.120
Os 2.436 0.000 0.000
Rh 2.436 4.862 0.000
Rh 2.436 4.860 3.407
Rh 2.436 0.000 3.407
Rh 2.436 -4.860 3.407
Rh 2.436 -4.862 0.000
```



8.
Material: Cs2CrWI6
Method: DFT, PBE
State: relaxed Values from VASP.

Values from the calculation:
**Space group**: I4/mmm (139)
**Calculated volume**: 39.8 Å³/atom
**E_form (uncorrected)**: -0.50 eV per atom

```
&SYSTEM
  ibrav = 0, nat = 10, ntyp = 4
/
ATOMIC_SPECIES
Cs 132.91 Cs.upf
Cr 52.00 Cr.upf
W 183.84 W.upf
I 126.90 I.upf
CELL_PARAMETERS angstrom
-4.128 4.128 5.847
4.128 -4.128 5.847
4.128 4.128 -5.847
ATOMIC_POSITIONS angstrom
Cs 4.128 0.000 2.924
Cs 0.000 4.128 2.924
Cr 0.000 0.000 0.000
W 0.000 0.000 5.847
I 2.108 2.108 0.000
I 2.020 -2.020 5.847
I 0.000 0.000 2.990
I 0.000 0.000 8.704
I -2.020 2.020 5.847
I 2.020 2.020 5.847
```



9.
Material: AlFeAs2
Method: DFT, PBE
State: relaxed Values from VASP.

Values from the calculation:
**Formation energy**: 0.1 eV per formula unit
**Space group**: I-42d (122)
**Calculated volume**: 22.1 Å³/atom

```
&SYSTEM
  ibrav = 0, nat = 8, ntyp = 3
/
ATOMIC_SPECIES
Al 26.98 Al.upf
Fe 55.84 Fe.upf
As 74.92 As.upf
CELL_PARAMETERS angstrom
-2.818 2.818 5.562
2.818 -2.818 5.562
2.818 2.818 -5.562
ATOMIC_POSITIONS angstrom
Al 0.000 0.000 0.000
Al 0.000 2.818 2.781
Fe 2.818 0.000 2.781
Fe 0.000 0.000 5.562
As 1.409 -1.301 4.171
As 1.517 1.409 1.390
As 1.409 4.119 -1.390
As 1.301 1.409 6.952
```



10.
Material: Nd2SmBr
Method: DFT, PBE
State: relaxed Values from VASP.

Values from the calculation:
**Space group**: P4/mmm (123)
**Calculated volume**: 32.0 Å³/atom
**E_form (uncorrected)**: -0.47 eV per atom

```
&SYSTEM
  ibrav = 0, nat = 4, ntyp = 3
/
ATOMIC_SPECIES
Nd 144.24 Nd.upf
Sm 150.36 Sm.upf
Br 79.90 Br.upf
CELL_PARAMETERS angstrom
3.621 0.000 0.000
0.000 3.621 0.000
0.000 0.000 9.757
ATOMIC_POSITIONS angstrom
Nd 0.000 0.000 2.291
Nd 0.000 0.000 7.465
Sm 1.810 1.810 4.878
Br 1.810 1.810 0.000
```



11.
Material: MgMnP2
Method: DFT, PBE
State: relaxed Values from VASP.

Values from the calculation:
**Formation energy**: -1.4 eV per formula unit
**Space group**: R-3m (166)
**Calculated volume**: 16.2 Å³/atom

```
&SYSTEM
  ibrav = 0, nat = 4, ntyp = 3
/
ATOMIC_SPECIES
Mg 24.30 Mg.upf
Mn 54.94 Mn.upf
P 30.97 P.upf
CELL_PARAMETERS angstrom
1.746 1.008 6.143
-1.746 1.008 6.143
0.000 -2.016 6.143
ATOMIC_POSITIONS angstrom
Mg 0.000 0.000 0.000
Mn 0.000 0.000 9.215
P 0.000 0.000 4.374
P 0.000 0.000 14.056
```



12.
Material: Pr3PbAu
Method: DFT, PBE
State: relaxed Values from VASP.

Values from the calculation:
**Formation energy**: -2.3 eV per formula unit
**Space group**: C2/c (15)
**Calculated volume**: 32.6 Å³/atom

```
&SYSTEM
  ibrav = 0, nat = 20, ntyp = 3
/
ATOMIC_SPECIES
Pr 140.91 Pr.upf
Pb 207.20 Pb.upf
Au 196.97 Au.upf
CELL_PARAMETERS angstrom
6.479 -5.804 0.000
6.479 5.804 0.000
-0.001 0.000 8.669
ATOMIC_POSITIONS angstrom
Pr 1.315 1.092 0.740
Pr 3.239 2.072 6.002
Pr 1.315 -1.092 5.075
Pr 5.175 1.095 0.741
Pr 3.239 -2.072 1.667
Pr 5.174 -1.095 5.075
Pr 7.784 1.095 3.594
Pr 9.719 2.072 7.001
Pr 7.783 -1.095 7.928
Pr 11.643 1.092 3.594
Pr 9.719 -2.072 2.667
Pr 11.643 -1.092 7.929
Pb 6.479 3.953 2.167
Pb 6.479 1.861 6.502
Pb 6.479 -1.861 2.167
Pb 6.479 -3.953 6.502
Au 3.249 0.669 3.248
Au 3.249 -0.669 7.583
Au 9.709 0.669 1.086
Au 9.709 -0.669 5.420
```



13.
Material: AcGdScGa
Method: DFT, PBE
State: relaxed Values from VASP.

Values from the calculation:
**Formation energy**: 0.1 eV per formula unit
**Space group**: F-43m (216)
**Calculated volume**: 27.6 Å³/atom

```
&SYSTEM
  ibrav = 0, nat = 4, ntyp = 4
/
ATOMIC_SPECIES
Ac 227.00 Ac.upf
Gd 157.25 Gd.upf
Sc 44.96 Sc.upf
Ga 69.72 Ga.upf
CELL_PARAMETERS angstrom
0.000 3.807 3.807
3.807 0.000 3.807
3.807 3.807 0.000
ATOMIC_POSITIONS angstrom
Ac 0.000 0.000 0.000
Gd 1.904 1.904 1.904
Sc 5.711 5.711 5.711
Ga 3.807 3.807 3.807
```



14.
Material: MgAl2Co
Method: DFT, PBE
State: relaxed Values from VASP.

Values from the calculation:
**Formation energy**: -0.5 eV per formula unit
**Space group**: Immm (71)
**Calculated volume**: 15.1 Å³/atom

```
&SYSTEM
  ibrav = 0, nat = 4, ntyp = 3
/
ATOMIC_SPECIES
Mg 24.30 Mg.upf
Al 26.98 Al.upf
Co 58.93 Co.upf
CELL_PARAMETERS angstrom
-1.477 2.300 4.459
1.477 -2.300 4.459
1.477 2.300 -4.459
ATOMIC_POSITIONS angstrom
Mg 0.000 0.000 0.000
Al 1.477 0.000 2.545
Al 0.000 2.300 1.914
Co 0.000 0.000 4.459
```



15.
Material: Rb2CeTe2S6
Method: DFT, PBE
State: relaxed Values from VASP.

Values from the calculation:
**Space group**: C2/m (12)
**Calculated volume**: 34.0 Å³/atom
**E_form (uncorrected)**: -0.73 eV per atom

```
&SYSTEM
  ibrav = 0, nat = 11, ntyp = 4
/
ATOMIC_SPECIES
Rb 85.47 Rb.upf
Ce 140.12 Ce.upf
Te 127.60 Te.upf
S 32.06 S.upf
CELL_PARAMETERS angstrom
7.279 -3.688 0.000
7.279 3.688 0.000
-4.085 0.000 6.964
ATOMIC_POSITIONS angstrom
Rb 2.374 0.000 1.562
Rb 8.099 0.000 5.402
Ce -2.042 0.000 3.482
Te 3.597 0.000 5.500
Te 6.876 0.000 1.463
S 5.332 1.790 1.318
S 0.379 0.000 4.259
S 5.141 1.790 5.646
S 5.332 -1.790 1.318
S 10.094 0.000 2.705
S 5.141 -1.790 5.646
```



16.
Material: Al2WAu
Method: DFT, PBE
State: relaxed Values from VASP.

Values from the calculation:
**Formation energy**: 0.0 eV per formula unit
**Space group**: Pmm2 (25)
**Calculated volume**: 15.9 Å³/atom

```
&SYSTEM
  ibrav = 0, nat = 4, ntyp = 3
/
ATOMIC_SPECIES
Al 26.98 Al.upf
W 183.84 W.upf
Au 196.97 Au.upf
CELL_PARAMETERS angstrom
2.935 0.000 0.000
0.000 3.848 0.000
0.000 0.000 5.646
ATOMIC_POSITIONS angstrom
Al 0.000 0.000 0.000
Al 1.468 1.924 1.517
W 1.468 1.924 4.446
Au 0.000 0.000 2.718
```



17.
Material: PrCdAg6
Method: DFT, PBE
State: relaxed Values from VASP.

Values from the calculation:
**Formation energy**: -0.2 eV per formula unit
**Space group**: Pm-3 (200)
**Calculated volume**: 20.7 Å³/atom

```
&SYSTEM
  ibrav = 0, nat = 8, ntyp = 3
/
ATOMIC_SPECIES
Pr 140.91 Pr.upf
Cd 112.41 Cd.upf
Ag 107.87 Ag.upf
CELL_PARAMETERS angstrom
5.496 0.000 0.000
0.000 5.496 0.000
0.000 0.000 5.496
ATOMIC_POSITIONS angstrom
Pr 0.000 0.000 0.000
Cd 2.748 2.748 2.748
Ag 0.000 1.399 2.748
Ag 0.000 4.097 2.748
Ag 1.399 2.748 0.000
Ag 2.748 0.000 1.399
Ag 2.748 0.000 4.097
Ag 4.097 2.748 0.000
```



18.
Material: Na5Zn4Sb4
Method: DFT, PBE
State: relaxed Values from VASP.

Values from the calculation:
**Space group**: I4/m (87)
**Calculated volume**: 26.4 Å³/atom
**E_form (uncorrected)**: -0.26 eV per atom

```
&SYSTEM
  ibrav = 0, nat = 13, ntyp = 3
/
ATOMIC_SPECIES
Na 22.99 Na.upf
Zn 65.41 Zn.upf
Sb 121.76 Sb.upf
CELL_PARAMETERS angstrom
-6.147 6.147 2.267
6.147 -6.147 2.267
6.147 6.147 -2.267
ATOMIC_POSITIONS angstrom
Na 0.000 0.000 0.000
Na 4.577 3.685 0.000
Na 2.462 -1.570 2.267
Na 3.685 7.717 0.000
Na 1.570 2.462 2.267
Zn 7.367 1.462 0.000
Zn 1.462 4.927 0.000
Zn 4.685 1.220 2.267
Zn -1.220 4.685 2.267
Sb 3.291 0.686 0.000
Sb 5.461 -2.856 2.267
Sb 0.686 9.003 0.000
Sb 2.856 5.461 2.267
```



19.
Material: Li7CdIn2
Method: DFT, PBE
State: relaxed Values from VASP.

Values from the calculation:
**Formation energy**: -1.5 eV per formula unit
**Space group**: P3m1 (156)
**Calculated volume**: 19.0 Å³/atom

```
&SYSTEM
  ibrav = 0, nat = 10, ntyp = 3
/
ATOMIC_SPECIES
Li 6.94 Li.upf
Cd 112.41 Cd.upf
In 114.82 In.upf
CELL_PARAMETERS angstrom
4.700 0.000 0.000
-2.350 4.071 0.000
0.000 0.000 9.936
ATOMIC_POSITIONS angstrom
Li 0.000 0.000 0.000
Li 0.000 0.000 2.336
Li 0.000 0.000 4.670
Li 0.000 2.714 6.270
Li 0.000 2.714 9.785
Li 2.350 1.357 4.733
Li 2.350 1.357 8.302
Cd 2.350 1.357 1.479
In 0.000 0.000 7.300
In 0.000 2.714 3.135
```



20.
Material: SrLaAl2Co
Method: DFT, PBE
State: relaxed Values from VASP.

Values from the calculation:
**Formation energy**: -1.0 eV per formula unit
**Space group**: P4/mmm (123)
**Calculated volume**: 24.4 Å³/atom

```
&SYSTEM
  ibrav = 0, nat = 5, ntyp = 4
/
ATOMIC_SPECIES
Sr 87.62 Sr.upf
La 138.91 La.upf
Al 26.98 Al.upf
Co 58.93 Co.upf
CELL_PARAMETERS angstrom
4.933 0.000 0.000
0.000 4.933 0.000
0.000 0.000 5.013
ATOMIC_POSITIONS angstrom
Sr 0.000 0.000 0.000
La 2.466 2.466 0.000
Al 0.000 2.466 2.506
Al 2.466 0.000 2.506
Co 2.466 2.466 2.506
```



21.
Material: ZrTl3Cl
Method: DFT, PBE
State: relaxed Values from VASP.

Values from the calculation:
**Space group**: Pm-3m (221)
**Calculated volume**: 33.1 Å³/atom
**E_form (uncorrected)**: 0.55 eV per atom

```
&SYSTEM
  ibrav = 0, nat = 5, ntyp = 3
/
ATOMIC_SPECIES
Zr 91.22 Zr.upf
Tl 204.38 Tl.upf
Cl 35.45 Cl.upf
CELL_PARAMETERS angstrom
5.488 0.000 0.000
0.000 5.488 0.000
0.000 0.000 5.488
ATOMIC_POSITIONS angstrom
Zr 0.000 0.000 0.000
Tl 0.000 2.744 2.744
Tl 2.744 0.000 2.744
Tl 2.744 2.744 0.000
Cl 2.744 2.744 2.744
```



22.
Material: NiPtAu2
Method: DFT, PBE
State: relaxed Values from VASP.

Values from the calculation:
**Formation energy**: 0.6 eV per formula unit
**Space group**: P2/m (10)
**Calculated volume**: 16.0 Å³/atom

```
&SYSTEM
  ibrav = 0, nat = 4, ntyp = 3
/
ATOMIC_SPECIES
Ni 58.69 Ni.upf
Pt 195.08 Pt.upf
Au 196.97 Au.upf
CELL_PARAMETERS angstrom
2.792 0.000 0.000
0.000 4.733 0.000
-0.122 0.000 4.854
ATOMIC_POSITIONS angstrom
Ni 0.000 0.000 0.000
Pt 1.335 0.000 2.427
Au 0.574 2.366 3.663
Au 2.096 2.366 1.192
```



23.
Material: NaPmRh4
Method: DFT, PBE
State: relaxed Values from VASP.

Values from the calculation:
**Formation energy**: -1.9 eV per formula unit
**Space group**: F-43m (216)
**Calculated volume**: 17.9 Å³/atom

```
&SYSTEM
  ibrav = 0, nat = 6, ntyp = 3
/
ATOMIC_SPECIES
Na 22.99 Na.upf
Pm 145.00 Pm.upf
Rh 102.91 Rh.upf
CELL_PARAMETERS angstrom
0.000 3.770 3.770
3.770 0.000 3.770
3.770 3.770 0.000
ATOMIC_POSITIONS angstrom
Na 0.000 0.000 0.000
Pm 1.885 1.885 1.885
Rh 4.713 2.826 2.826
Rh 2.826 4.713 2.826
Rh 2.826 2.826 4.713
Rh 4.713 4.713 4.713
```



24.
Material: TaIrBr
Method: DFT, PBE
State: relaxed Values from VASP.

Values from the calculation:
**Space group**: P-6m2 (187)
**Calculated volume**: 17.3 Å³/atom
**E_form (uncorrected)**: 0.41 eV per atom

```
&SYSTEM
  ibrav = 0, nat = 3, ntyp = 3
/
ATOMIC_SPECIES
Ta 180.95 Ta.upf
Ir 192.22 Ir.upf
Br 79.90 Br.upf
CELL_PARAMETERS angstrom
4.449 0.000 0.000
-2.224 3.853 0.000
0.000 0.000 3.022
ATOMIC_POSITIONS angstrom
Ta 0.000 0.000 0.000
Ir 2.224 1.284 1.511
Br 0.000 2.569 0.000
```



25.
Material: K3UV2Te6
Method: DFT, PBE
State: relaxed Values from VASP.

Values from the calculation:
**Space group**: C2/m (12)
**Calculated volume**: 32.0 Å³/atom
**E_form (uncorrected)**: -0.71 eV per atom

```
&SYSTEM
  ibrav = 0, nat = 12, ntyp = 4
/
ATOMIC_SPECIES
K 39.10 K.upf
U 238.03 U.upf
V 50.94 V.upf
Te 127.60 Te.upf
CELL_PARAMETERS angstrom
3.678 -6.368 0.000
3.678 6.368 0.000
-2.468 0.000 8.203
ATOMIC_POSITIONS angstrom
K 0.000 0.000 0.000
K 3.678 2.044 0.000
K 3.678 -2.044 0.000
U 2.444 0.000 4.102
V 2.444 4.240 4.102
V 2.444 -4.240 4.102
Te 1.137 2.265 2.517
Te -0.176 0.000 5.672
Te 1.137 -2.265 2.517
Te 3.751 2.265 5.686
Te 5.065 0.000 2.531
Te 3.751 -2.265 5.686
```



Table of VASP energy (eV/atom), in record order: -3.766 -3.317 -3.983 -1.603 -3.311 -6.963 -7.954 -3.855 -5.345 -4.449 -5.739 -4.723 -6.850 -4.175 -4.272 -5.934 -2.873 -2.423 -2.133 -4.446 -2.952 -4.450 -6.222 -7.052 -5.014